A plane-wave DFT calculation with PBE was carried out for a geometry-optimized MgGa structure.

As for the symmetry: No. 124. The value obtained for the formation energy is 32 meV/atom.

Lattice parameters (Å, degrees): 8.5828 8.5828 5.1184 90.00 90.00 90.00
With the nearest neighbours (Å) after each atom.
Sites, in units of the cell vectors:
Mg 0.1140 0.7566 0.0000  5 Ga 2.80-3.06, 2 Mg 3.00
Mg 0.2434 0.1140 0.0000  5 Ga 2.80-3.06, 2 Mg 3.00
Mg 0.7566 0.1140 0.5000  5 Ga 2.80-3.06, 2 Mg 3.00
Mg 0.2434 0.8860 0.5000  5 Ga 2.80-3.06, 2 Mg 3.00
Mg 0.8860 0.7566 0.5000  5 Ga 2.80-3.06, 2 Mg 3.00
Mg 0.7566 0.8860 0.0000  5 Ga 2.80-3.06, 2 Mg 3.00
Mg 0.8860 0.2434 0.0000  5 Ga 2.80-3.06, 2 Mg 3.00
Mg 0.1140 0.2434 0.5000  5 Ga 2.80-3.06, 2 Mg 3.00
Ga 0.4337 0.8422 0.0000  5 Mg 2.80-3.06, 3 Ga 2.80-2.94
Ga 0.4337 0.1578 0.5000  5 Mg 2.80-3.06, 3 Ga 2.80-2.94
Ga 0.8422 0.5663 0.0000  5 Mg 2.80-3.06, 3 Ga 2.80-2.94
Ga 0.8422 0.4337 0.5000  5 Mg 2.80-3.06, 3 Ga 2.80-2.94
Ga 0.1578 0.5663 0.5000  5 Mg 2.80-3.06, 3 Ga 2.80-2.94
Ga 0.5663 0.1578 0.0000  5 Mg 2.80-3.06, 3 Ga 2.80-2.94
Ga 0.1578 0.4337 0.0000  5 Mg 2.80-3.06, 3 Ga 2.80-2.94
Ga 0.5663 0.8422 0.5000  5 Mg 2.80-3.06, 3 Ga 2.80-2.94

A plane-wave DFT calculation with PBE was carried out for a geometry-optimized TlAsAu2 structure.

As for the symmetry: No. 216. The value obtained for the formation energy is 305 meV/atom.

Lattice parameters (Å, degrees): 4.9146 4.9146 4.9146 60.00 60.00 60.00
With the nearest neighbours (Å) after each atom.
Sites, in units of the cell vectors:
Tl 0.7500 0.7500 0.7500  4 As 3.01, 4 Au 3.01
As 0.5000 0.5000 0.5000  4 Tl 3.01, 4 Au 3.01
Au 0.0000 0.0000 0.0000  4 Au 3.01, 4 Tl 3.01
Au 0.2500 0.2500 0.2500  4 As 3.01, 4 Au 3.01

A plane-wave DFT calculation with PBE was carried out for a geometry-optimized ZrNbPb2 structure.

As for the symmetry: No. 225. The value obtained for the formation energy is 246 meV/atom. The polymorph energy (0 for the lowest one) is 0 meV per atom.

Lattice parameters (Å, degrees): 5.0350 5.0350 5.0350 60.00 60.00 60.00
With the nearest neighbours (Å) after each atom.
Sites, in units of the cell vectors:
Pb 0.7500 0.7500 0.7500  4 Nb 3.08, 4 Zr 3.08
Pb 0.2500 0.2500 0.2500  4 Nb 3.08, 4 Zr 3.08
Zr 0.0000 0.0000 0.0000  8 Pb 3.08
Nb 0.5000 0.5000 0.5000  8 Pb 3.08

A plane-wave DFT calculation with PBE was carried out for a geometry-optimized Rb3CdS structure.

As for the symmetry: No. 221. The polymorph energy (0 for the lowest one) is 0 meV per atom.

Lattice parameters (Å, degrees): 6.4421 6.4421 6.4421 90.00 90.00 90.00
With the nearest neighbours (Å) after each atom.
Sites, in units of the cell vectors:
Cd 0.5000 0.5000 0.5000  12 Rb 4.56
Rb 0.0000 0.0000 0.5000  2 S 3.22
Rb 0.5000 0.0000 0.0000  2 S 3.22
Rb 0.0000 0.5000 0.0000  2 S 3.22
S 0.0000 0.0000 0.0000  6 Rb 3.22

A plane-wave DFT calculation with PBE was carried out for a geometry-optimized InAsPb4 structure.

As for the symmetry: No. 216. The value obtained for the formation energy is 335 meV/atom.

Lattice parameters (Å, degrees): 6.4486 6.4486 6.4486 60.00 60.00 60.00
With the nearest neighbours (Å) after each atom.
Sites, in units of the cell vectors:
As 0.7500 0.7500 0.7500  12 Pb 3.78, 4 In 3.95
Pb 0.3750 0.3750 0.8751  6 Pb 3.22-3.23
Pb 0.3750 0.8751 0.3750  6 Pb 3.22-3.23
Pb 0.3750 0.3750 0.3750  6 Pb 3.22-3.23
Pb 0.8751 0.3750 0.3750  6 Pb 3.22-3.23
In 0.0000 0.0000 0.0000  12 Pb 3.78, 4 As 3.95

A plane-wave DFT calculation with PBE was carried out for a geometry-optimized Zr2TiP4 structure.

As for the symmetry: No. 139. The value obtained for the formation energy is -452 meV/atom.

Lattice parameters (Å, degrees): 4.5906 4.5906 7.3210 71.73 71.73 90.00
With the nearest neighbours (Å) after each atom.
Sites, in units of the cell vectors:
P 0.0000 0.5000 0.0000  2 Ti 2.30
P 0.8117 0.8117 0.3767  1 Ti 2.47, 1 Zr 2.51
P 0.1883 0.1883 0.6233  1 Ti 2.47, 1 Zr 2.51
P 0.5000 0.0000 0.0000  2 Ti 2.30
Ti 0.0000 0.0000 0.0000  6 P 2.30-2.47
Zr 0.6208 0.6208 0.7585  5 P 2.51-2.79
Zr 0.3792 0.3792 0.2415  5 P 2.51-2.79

no.,density of states at the Fermi level (states/eV per cell)
1,4.2
2,2.9
3,4.6
4,4.8
5,2.8
6,3.0